1.
# Rb3LuO3

A crystal of Rb3LuO3 relaxed with PBEsol (meta-GGA SCAN, Alexandria via LeMat-Bulk).

Calculated values
Energy above the lowest structure with this stoichiometry: 0 kJ/mol of formula units
Symmetry: No. 14
Formation energy from raw total energies: -2.1979 eV/atom

a = 7.6549 Å, b = 7.2094 Å, c = 11.5040 Å
α = 90.00°, β = 93.93°, γ = 90.00°
Sites, in units of the cell vectors:
Rb: 0.0681 0.1228 0.1574
Rb: 0.0681 0.3772 0.6574
Rb: 0.3576 0.1629 0.9217
Rb: 0.3576 0.3371 0.4217
Rb: 0.3764 0.6944 0.8106
Rb: 0.3764 0.8056 0.3106
Rb: 0.6236 0.1944 0.6894
Rb: 0.6236 0.3056 0.1894
Rb: 0.6424 0.6629 0.5783
Rb: 0.6424 0.8371 0.0783
Rb: 0.9319 0.6228 0.3426
Rb: 0.9319 0.8772 0.8426
Lu: 0.1587 0.5890 0.0690
Lu: 0.1587 0.9110 0.5690
Lu: 0.8413 0.0890 0.4310
Lu: 0.8413 0.4110 0.9310
O: 0.1125 0.0508 0.4082
O: 0.1125 0.4492 0.9082
O: 0.2538 0.6478 0.5470
O: 0.2538 0.8522 0.0470
O: 0.3012 0.0546 0.6949
O: 0.3012 0.4454 0.1949
O: 0.6988 0.5546 0.8051
O: 0.6988 0.9454 0.3051
O: 0.7462 0.1478 0.9530
O: 0.7462 0.3522 0.4530
O: 0.8875 0.5508 0.0918
O: 0.8875 0.9492 0.5918

=====

2.
# RbLuW2O8

A crystal of RbLuW2O8 relaxed with PBEsol (meta-GGA SCAN, Alexandria via LeMat-Bulk).

Calculated values
Energy above the lowest structure with this stoichiometry: 0 kJ/mol of formula units
Symmetry: No. 15
Formation energy from raw total energies: -2.7439 eV/atom

a = 7.4143 Å, b = 7.4143 Å, c = 7.4193 Å
α = 117.89°, β = 117.89°, γ = 88.05°
Sites, in units of the cell vectors:
Rb: 0.2002 0.7998 0.7500
Rb: 0.7998 0.2002 0.2500
Lu: 0.2266 0.7734 0.2500
Lu: 0.7734 0.2266 0.7500
W: 0.3004 0.3056 0.2730
W: 0.3056 0.3004 0.7730
W: 0.6944 0.6996 0.2270
W: 0.6996 0.6944 0.7270
O: 0.0405 0.2197 0.6967
O: 0.0557 0.3692 0.1173
O: 0.2197 0.0405 0.1967
O: 0.2401 0.3804 0.5569
O: 0.3692 0.0557 0.6173
O: 0.3704 0.5924 0.0372
O: 0.3804 0.2401 0.0569
O: 0.4076 0.6296 0.4628
O: 0.5924 0.3704 0.5372
O: 0.6196 0.7599 0.9431
O: 0.6296 0.4076 0.9628
O: 0.6308 0.9443 0.3827
O: 0.7599 0.6196 0.4431
O: 0.7803 0.9595 0.8033
O: 0.9443 0.6308 0.8827
O: 0.9595 0.7803 0.3033

=====

3.
# RbLuW2O8

A crystal of RbLuW2O8 relaxed with PBEsol (meta-GGA SCAN, Alexandria via LeMat-Bulk).

Calculated values
Energy above the lowest structure with this stoichiometry: 40 kJ/mol of formula units
Symmetry: No. 164
Formation energy from raw total energies: -2.7094 eV/atom

a = 5.9269 Å, b = 5.9269 Å, c = 7.6094 Å
α = 90.00°, β = 90.00°, γ = 120.00°
Sites, in units of the cell vectors:
Rb: 0.0000 0.0000 0.0000
Lu: 0.0000 0.0000 0.5000
W: 0.3333 0.6667 0.2514
W: 0.6667 0.3333 0.7486
O: 0.1672 0.3343 0.3268
O: 0.1672 0.8328 0.3268
O: 0.3333 0.6667 0.0212
O: 0.3343 0.1672 0.6732
O: 0.6657 0.8328 0.3268
O: 0.6667 0.3333 0.9788
O: 0.8328 0.1672 0.6732
O: 0.8328 0.6657 0.6732

=====

4.
# LuRhO3

A crystal of LuRhO3 relaxed with PBEsol (meta-GGA SCAN, Alexandria via LeMat-Bulk).

Calculated values
Symmetry: No. 62
Formation energy from raw total energies: -2.5587 eV/atom

a = 5.6683 Å, b = 7.4024 Å, c = 5.0965 Å
α = 90.00°, β = 90.00°, γ = 90.00°
Sites, in units of the cell vectors:
Lu: 0.0892 0.2500 0.0348
Lu: 0.4108 0.7500 0.5348
Lu: 0.5892 0.2500 0.4652
Lu: 0.9108 0.7500 0.9652
Rh: 0.0000 0.0000 0.5000
Rh: 0.0000 0.5000 0.5000
Rh: 0.5000 0.0000 0.0000
Rh: 0.5000 0.5000 0.0000
O: 0.0597 0.7500 0.3537
O: 0.1871 0.5656 0.8286
O: 0.1871 0.9344 0.8286
O: 0.3129 0.0656 0.3286
O: 0.3129 0.4344 0.3286
O: 0.4403 0.2500 0.8537
O: 0.5597 0.7500 0.1463
O: 0.6871 0.5656 0.6714
O: 0.6871 0.9344 0.6714
O: 0.8129 0.0656 0.1714
O: 0.8129 0.4344 0.1714
O: 0.9403 0.2500 0.6463